[1]
First-principles (PBE) data for an optimized crystal structure of GdUH2I4, as listed in OQMD via LeMat-Bulk.

Calculated values
Total energy ... -36.50 eV/f.u.
Magnetization ... 3.005 Bohr magnetons per cell
Crystal system ... hexagonal

Cell and atoms, written as POSCAR:
```
GdUH2I4
1.0
3.996 0.000 0.000
-1.998 3.461 0.000
0.000 0.000 16.451
U H Gd I
1 2 1 4
Cartesian
0.000 0.000 8.226
0.000 2.307 8.226
1.998 1.154 0.000
0.000 0.000 0.000
0.000 2.307 2.141
1.998 1.154 6.039
1.998 1.154 10.412
0.000 2.307 14.310
```

---

[2]
First-principles (PBE) data for an optimized crystal structure of HfPPbO, as listed in OQMD via LeMat-Bulk.

Calculated values
ΔE to the lowest computed polymorph ... 41.2 meV/atom
Magnetization ... 0.002 Bohr magnetons per cell
Crystal system ... orthorhombic

Cell and atoms, written as POSCAR:
```
HfPPbO
1.0
-1.644 1.113 3.276
0.481 -7.779 2.883
4.834 1.064 2.064
P Hf O Pb
2 2 2 2
Cartesian
4.795 -4.173 3.824
2.221 -2.167 1.850
4.666 -1.781 2.946
2.387 -4.551 2.743
1.588 -4.546 4.580
3.799 -0.678 4.376
4.302 -5.356 6.217
1.507 0.225 2.919
```

---

[3]
First-principles (PBE) data for an optimized crystal structure of NaZn2, as listed in OQMD via LeMat-Bulk.

Calculated values
Total energy ... -3.64 eV/f.u.
Crystal system ... orthorhombic

Cell and atoms, written as POSCAR:
```
NaZn2
1.0
16.095 0.000 0.000
0.000 2.974 0.000
0.000 0.000 4.577
Zn Na
8 4
Cartesian
1.404 0.000 2.288
9.452 1.487 2.288
7.184 0.000 2.288
8.017 1.487 0.000
5.749 0.000 0.000
13.797 1.487 0.000
16.065 0.000 0.000
15.232 1.487 2.288
10.716 0.000 0.000
2.670 1.487 0.000
4.485 1.487 2.288
12.531 0.000 2.288
```

---

[4]
First-principles (PBE) data for an optimized crystal structure of Dy2Te3Pt2, as listed in OQMD via LeMat-Bulk.

Calculated values
Total energy ... -35.21 eV/f.u.
Magnetization ... 0.388 Bohr magnetons per cell
Crystal system ... orthorhombic

Cell and atoms, written as POSCAR:
```
Dy2Te3Pt2
1.0
6.710 8.611 4.084
-9.451 -6.079 -3.092
-0.154 -1.533 3.487
Te Dy Pt
3 2 2
Cartesian
-4.251 -2.049 0.995
1.355 3.047 3.484
-1.448 0.499 2.239
-8.117 -4.866 -2.499
5.375 7.398 3.491
3.400 5.602 2.614
-6.141 -3.070 -1.622
```

---

[5]
First-principles (PBE) data for an optimized crystal structure of RbPbAu, as listed in OQMD via LeMat-Bulk.

Calculated values
ΔE to the lowest computed polymorph ... 0.0 meV/atom
Crystal system ... cubic

Cell and atoms, written as POSCAR:
```
RbPbAu
1.0
0.000 3.769 3.769
3.769 0.000 3.769
3.769 3.769 0.000
Au Rb Pb
1 1 1
Cartesian
0.000 0.000 0.000
5.653 5.653 5.653
1.884 1.884 1.884
```

---

[6]
First-principles (PBE) data for an optimized crystal structure of Zr3GaSe, as listed in OQMD via LeMat-Bulk.

Calculated values
Total energy ... -35.73 eV/f.u.
Magnetization ... 0.386 Bohr magnetons per cell
Crystal system ... orthorhombic

Cell and atoms, written as POSCAR:
```
Zr3GaSe
1.0
-6.025 1.826 1.555
3.941 -2.578 -4.459
-1.710 -8.578 3.448
Zr Ga Se
6 2 2
Cartesian
-0.693 -2.863 -1.058
-6.098 -6.934 3.875
-3.101 -6.466 1.602
1.647 -5.690 -2.007
2.304 -2.395 -3.331
-5.442 -3.639 2.551
-4.030 -1.389 0.955
0.235 -7.941 -0.411
-1.042 -0.376 -1.452
-1.897 -4.665 0.272
```

---

What is the formula in the fifth record? RbPbAu